A geometry-optimized LiPmAs2Pt4 structure. Source: Alexandria, functional GGA-PBE.

POSCAR file:
```
LiPmAs2Pt4
1.0
4.010 0.000 0.000
0.000 4.010 0.000
0.000 0.000 10.368
Li Pm As Pt
1 1 2 4
Direct
0.000 0.000 0.000
0.000 0.000 0.500
0.500 0.500 0.142
0.500 0.500 0.858
0.000 0.500 0.283
0.000 0.500 0.717
0.500 0.000 0.283
0.500 0.000 0.717
```

Properties
- DOS(E_F) (states/eV per cell) = 3.4
- ΔE_f (eV/atom) = -0.569
- mass density (g cm⁻³) = 10.8
- M_tot (μB per formula unit) = 0.00
- space group = P4/mmm


A geometry-optimized LiPm2As4Pt3 structure. Source: Alexandria, functional GGA-PBE.

POSCAR file:
```
LiPm2As4Pt3
1.0
4.201 0.000 0.000
0.000 4.201 0.000
0.000 0.000 10.978
Li Pm As Pt
1 2 4 3
Direct
0.000 0.000 0.000
0.000 0.500 0.761
0.500 0.000 0.239
0.000 0.000 0.500
0.000 0.500 0.133
0.500 0.000 0.867
0.500 0.500 0.500
0.000 0.500 0.358
0.500 0.000 0.642
0.500 0.500 0.000
```

Properties
- DOS(E_F) (states/eV per cell) = 2.6
- ΔE_f (eV/atom) = -0.908
- mass density (g cm⁻³) = 10.1
- M_tot (μB per formula unit) = 0.00
- space group = P-4m2


A geometry-optimized LiPmAsPt2 structure. Source: Alexandria, functional GGA-PBE.

POSCAR file:
```
LiPmAsPt2
1.0
-1.961 2.079 5.784
1.961 -2.079 5.784
1.961 2.079 -5.784
Li Pm As Pt
1 1 1 2
Direct
0.000 0.000 0.000
0.749 0.249 0.500
0.367 0.867 0.500
0.153 0.653 0.500
0.497 0.497 0.000
```

Properties
- DOS(E_F) (states/eV per cell) = 2.4
- ΔE_f (eV/atom) = -0.885
- mass density (g cm⁻³) = 10.9
- M_tot (μB per formula unit) = 0.00
- space group = Imm2


A geometry-optimized LiPmAsRh structure. Source: Alexandria, functional GGA-PBE.

POSCAR file:
```
LiPmAsRh
1.0
0.000 3.270 3.270
3.270 0.000 3.270
3.270 3.270 0.000
Li Pm As Rh
1 1 1 1
Direct
0.000 0.000 0.000
0.750 0.750 0.750
0.250 0.250 0.250
0.500 0.500 0.500
```

Properties
- ΔE_f (eV/atom) = -0.754
- mass density (g cm⁻³) = 7.8
- M_tot (μB per formula unit) = 0.00
- space group = F-43m


A geometry-optimized LiPmAs2Rh structure. Source: Alexandria, functional GGA-PBE.

POSCAR file:
```
LiPmAs2Rh
1.0
-2.053 2.053 5.363
2.053 -2.053 5.363
2.053 2.053 -5.363
Li Pm As Rh
1 1 2 1
Direct
0.000 0.000 0.000
0.750 0.250 0.500
0.130 0.630 0.500
0.370 0.870 0.500
0.500 0.500 0.000
```

Properties
- DOS(E_F) (states/eV per cell) = 1.6
- ΔE_f (eV/atom) = -0.947
- mass density (g cm⁻³) = 7.4
- M_tot (μB per formula unit) = 0.00
- space group = I-4m2


A geometry-optimized LiPmAs2Rh5 structure. Source: Alexandria, functional GGA-PBE.

POSCAR file:
```
LiPmAs2Rh5
1.0
4.161 0.000 0.000
0.000 4.161 0.000
0.000 0.000 9.043
Li Pm As Rh
1 1 2 5
Direct
0.000 0.000 0.000
0.000 0.000 0.500
0.500 0.500 0.139
0.500 0.500 0.861
0.000 0.500 0.267
0.000 0.500 0.733
0.500 0.000 0.267
0.500 0.000 0.733
0.500 0.500 0.500
```

Properties
- DOS(E_F) (states/eV per cell) = 6.3
- ΔE_f (eV/atom) = -0.502
- mass density (g cm⁻³) = 8.7
- M_tot (μB per formula unit) = 0.00
- space group = P4/mmm


A geometry-optimized LiPmAs2Rh2 structure. Source: Alexandria, functional GGA-PBE.

POSCAR file:
```
LiPmAs2Rh2
1.0
4.216 0.000 0.000
-2.108 3.651 0.000
0.000 0.000 6.736
Li Pm As Rh
1 1 2 2
Direct
0.000 0.000 0.000
0.000 0.000 0.500
0.333 0.667 0.768
0.667 0.333 0.232
0.333 0.667 0.139
0.667 0.333 0.861
```

Properties
- DOS(E_F) (states/eV per cell) = 2.2
- ΔE_f (eV/atom) = -0.916
- mass density (g cm⁻³) = 8.1
- M_tot (μB per formula unit) = 0.00
- space group = P-3m1


A geometry-optimized LiPmAsRu structure. Source: Alexandria, functional GGA-PBE.

POSCAR file:
```
LiPmAsRu
1.0
0.000 3.264 3.264
3.264 0.000 3.264
3.264 3.264 0.000
Li Pm As Ru
1 1 1 1
Direct
0.000 0.000 0.000
0.750 0.750 0.750
0.250 0.250 0.250
0.500 0.500 0.500
```

Properties
- DOS(E_F) (states/eV per cell) = 4.8
- ΔE_f (eV/atom) = -0.400
- mass density (g cm⁻³) = 7.8
- M_tot (μB per formula unit) = 0.00
- space group = F-43m


Q: Number 1 is which compound?
A: LiPmAs2Pt4